(1)
DFT (PBE) results for a relaxed structure of Bi4Ir.

Unit cell a=15.4721 b=15.4721 c=15.4721 alpha=117.48 beta=117.48 gamma=117.48
With the nearest neighbours (Å) after each atom.
Atoms (fractional coordinates):
Bi 0.0451 0.6335 0.7506  2 Ir 2.84-2.93, 1 Bi 3.10
Bi 0.0451 0.7506 0.6335  2 Ir 2.84-2.93, 1 Bi 3.10
Bi 0.1665 0.1665 0.4308  2 Ir 2.90, 2 Bi 3.19
Bi 0.1665 0.4308 0.1665  2 Ir 2.90, 2 Bi 3.19
Bi 0.1837 0.3097 0.6761  2 Ir 2.86, 1 Bi 3.19
Bi 0.1837 0.6761 0.3097  2 Ir 2.86, 1 Bi 3.19
Bi 0.2229 0.3916 0.3916  2 Ir 2.87
Bi 0.2494 0.3665 0.9549  2 Ir 2.84-2.93, 1 Bi 3.10
Bi 0.2494 0.9549 0.3665  2 Ir 2.84-2.93, 1 Bi 3.10
Bi 0.3097 0.1837 0.6761  2 Ir 2.86, 1 Bi 3.19
Bi 0.3097 0.6761 0.1837  2 Ir 2.86, 1 Bi 3.19
Bi 0.3239 0.6903 0.8163  2 Ir 2.86, 1 Bi 3.19
Bi 0.3239 0.8163 0.6903  2 Ir 2.86, 1 Bi 3.19
Bi 0.3665 0.2494 0.9549  2 Ir 2.84-2.93, 1 Bi 3.10
Bi 0.3665 0.9549 0.2494  2 Ir 2.84-2.93, 1 Bi 3.10
Bi 0.3916 0.2229 0.3916  2 Ir 2.87
Bi 0.3916 0.3916 0.2229  2 Ir 2.87
Bi 0.4308 0.1665 0.1665  2 Ir 2.90, 2 Bi 3.19
Bi 0.5692 0.8335 0.8335  2 Ir 2.90, 2 Bi 3.19
Bi 0.6084 0.6084 0.7771  2 Ir 2.87
Bi 0.6084 0.7771 0.6084  2 Ir 2.87
Bi 0.6335 0.0451 0.7506  2 Ir 2.84-2.93, 1 Bi 3.10
Bi 0.6335 0.7506 0.0451  2 Ir 2.84-2.93, 1 Bi 3.10
Bi 0.6761 0.1837 0.3097  2 Ir 2.86, 1 Bi 3.19
Bi 0.6761 0.3097 0.1837  2 Ir 2.86, 1 Bi 3.19
Bi 0.6903 0.3239 0.8163  2 Ir 2.86, 1 Bi 3.19
Bi 0.6903 0.8163 0.3239  2 Ir 2.86, 1 Bi 3.19
Bi 0.7506 0.0451 0.6335  2 Ir 2.84-2.93, 1 Bi 3.10
Bi 0.7506 0.6335 0.0451  2 Ir 2.84-2.93, 1 Bi 3.10
Bi 0.7771 0.6084 0.6084  2 Ir 2.87
Bi 0.8163 0.3239 0.6903  2 Ir 2.86, 1 Bi 3.19
Bi 0.8163 0.6903 0.3239  2 Ir 2.86, 1 Bi 3.19
Bi 0.8335 0.5692 0.8335  2 Ir 2.90, 2 Bi 3.19
Bi 0.8335 0.8335 0.5692  2 Ir 2.90, 2 Bi 3.19
Bi 0.9549 0.2494 0.3665  2 Ir 2.84-2.93, 1 Bi 3.10
Bi 0.9549 0.3665 0.2494  2 Ir 2.84-2.93, 1 Bi 3.10
Ir 0.0000 0.5000 0.5000  8 Bi 2.86-2.93
Ir 0.3306 0.5000 0.6694  8 Bi 2.84-2.90
Ir 0.3306 0.6695 0.5000  8 Bi 2.84-2.90
Ir 0.5000 0.0000 0.5000  8 Bi 2.86-2.93
Ir 0.5000 0.3306 0.6694  8 Bi 2.84-2.90
Ir 0.5000 0.5000 0.0000  8 Bi 2.86-2.93
Ir 0.5000 0.6694 0.3306  8 Bi 2.84-2.90
Ir 0.6694 0.3306 0.5000  8 Bi 2.84-2.90
Ir 0.6694 0.5000 0.3306  8 Bi 2.84-2.90

Summary:
- V (Å³/cell) = 1503.54
- symmetry = R-3m
- magnetization (μB per formula unit) = 0.000
- calculated formation energy (eV per atom) = -0.01
- E above lowest polymorph (eV per formula unit) = 0.00

---

(2)
DFT (PBE) results for a relaxed structure of K2TlS.

Unit cell a=7.6210 b=7.6210 c=7.6210 alpha=100.62 beta=100.62 gamma=129.16
With the nearest neighbours (Å) after each atom.
Atoms (fractional coordinates):
K 0.0362 0.6250 0.9112  2 S 3.01
K 0.3750 0.2862 0.4112  2 S 3.01
K 0.7138 0.1250 0.0888  2 S 3.01
K 0.8750 0.9638 0.5888  2 S 3.01
Tl 0.2500 0.7500 0.5000  2 S 3.27
Tl 0.5000 0.5000 0.0000  2 S 3.27
S 0.0000 0.0000 0.0000  4 K 3.01, 2 Tl 3.27
S 0.7500 0.2500 0.5000  4 K 3.01, 2 Tl 3.27

Summary:
- ΔE_f (raw) (eV/atom) = -0.4140
- V (Å³/cell) = 309.99
- symmetry = I-42d
- magnetization (μB per formula unit) = 0.992
- E above lowest polymorph (eV per formula unit) = 0.00

---

(3)
DFT (PBE) results for a relaxed structure of BaGe2Pt.

Unit cell a=5.0272 b=5.0272 c=5.0272 alpha=60.00 beta=60.00 gamma=60.00
With the nearest neighbours (Å) after each atom.
Atoms (fractional coordinates):
Ba 0.0000 0.0000 0.0000  8 Ge 3.08
Ge 0.2500 0.2500 0.2500  4 Ba 3.08, 4 Pt 3.08
Ge 0.7500 0.7500 0.7500  4 Ba 3.08, 4 Pt 3.08
Pt 0.5000 0.5000 0.5000  8 Ge 3.08

Summary:
- V (Å³/cell) = 89.84
- symmetry = Fm-3m
- magnetization (μB per formula unit) = 0.000
- calculated formation energy (eV per atom) = -0.08

---

(4)
DFT (PBE) results for a relaxed structure of Ba2BeFe.

Unit cell a=8.2031 b=8.2031 c=8.2031 alpha=150.84 beta=148.05 gamma=43.80
With the nearest neighbours (Å) after each atom.
Atoms (fractional coordinates):
Ba 0.0000 0.0000 0.0000  2 Be 3.24, 4 Fe 3.42
Ba 0.7536 0.2536 0.5000  2 Fe 3.16, 4 Be 3.37
Be 0.3469 0.8469 0.5000  2 Fe 2.21
Fe 0.3993 0.3993 0.0000  2 Be 2.21

Summary:
- V (Å³/cell) = 141.96
- symmetry = Imm2
- magnetization (μB per formula unit) = 1.798
- calculated formation energy (eV per atom) = 0.50

---

(5)
DFT (PBE) results for a relaxed structure of HgMoAs2.

Unit cell a=2.9502 b=2.9502 c=10.0335 alpha=90.00 beta=90.00 gamma=111.34
With the nearest neighbours (Å) after each atom.
Atoms (fractional coordinates):
Hg 0.0000 0.0000 0.0000  2 As 2.94, 2 Mo 2.95, 4 Hg 2.95
Mo 0.5000 0.5000 0.7577  2 As 2.52
As 0.0000 0.0000 0.5695  2 Mo 2.52
As 0.5000 0.5000 0.2414  2 Hg 2.94, 4 As 2.95

Summary:
- V (Å³/cell) = 81.34
- symmetry = Cmm2
- magnetization (μB per formula unit) = 0.000
- calculated formation energy (eV per atom) = 0.40

---

(6)
DFT (PBE) results for a relaxed structure of PrU2N4.

Unit cell a=5.9701 b=5.9701 c=10.7185 alpha=90.00 beta=90.00 gamma=146.26
With the nearest neighbours (Å) after each atom.
Atoms (fractional coordinates):
Pr 0.1076 0.8924 0.7500  6 N 2.48-2.74
Pr 0.8924 0.1076 0.2500  6 N 2.48-2.74
U 0.3689 0.6311 0.5689  6 N 2.16-2.41
U 0.3689 0.6311 0.9311  6 N 2.16-2.41
U 0.6311 0.3689 0.0689  6 N 2.16-2.41
U 0.6311 0.3689 0.4311  6 N 2.16-2.41
N 0.0000 0.0000 0.0000  4 U 2.41
N 0.0000 0.0000 0.5000  4 U 2.41
N 0.2688 0.7312 0.1025  3 U 2.16-2.37
N 0.2688 0.7312 0.3975  3 U 2.16-2.37
N 0.4526 0.5474 0.7500  2 U 2.16
N 0.5474 0.4526 0.2500  2 U 2.16
N 0.7312 0.2688 0.6025  3 U 2.16-2.37
N 0.7312 0.2688 0.8975  3 U 2.16-2.37

Summary:
- ΔE_f (raw) (eV/atom) = -1.3609
- V (Å³/cell) = 212.18
- symmetry = Cmcm
- magnetization (μB per formula unit) = 2.515

---

(7)
DFT (PBE) results for a relaxed structure of Pm3Hg4.

Unit cell a=9.4137 b=9.4137 c=9.4137 alpha=32.07 beta=32.07 gamma=32.07
With the nearest neighbours (Å) after each atom.
Atoms (fractional coordinates):
Pm 0.0000 0.0000 0.0000  8 Hg 3.21-3.38
Pm 0.2433 0.2433 0.2433  7 Hg 3.13-3.26
Pm 0.7567 0.7567 0.7567  7 Hg 3.13-3.26
Hg 0.1262 0.1262 0.1262  5 Pm 3.13-3.38
Hg 0.3759 0.3759 0.3759  7 Pm 3.21-3.55
Hg 0.6241 0.6241 0.6241  7 Pm 3.21-3.55
Hg 0.8738 0.8738 0.8738  5 Pm 3.13-3.38

Summary:
- V (Å³/cell) = 209.03
- symmetry = R-3m
- magnetization (μB per formula unit) = 0.000
- calculated formation energy (eV per atom) = -0.34

---

(8)
DFT (PBE) results for a relaxed structure of ErAl2Au.

Unit cell a=8.0590 b=6.9224 c=5.6480 alpha=90.00 beta=90.00 gamma=90.00
With the nearest neighbours (Å) after each atom.
Atoms (fractional coordinates):
Er 0.0316 0.2500 0.1216  2 Au 2.95-3.01, 6 Al 3.05-3.30
Er 0.4684 0.7500 0.6216  2 Au 2.95-3.01, 6 Al 3.05-3.30
Er 0.5316 0.2500 0.3784  2 Au 2.95-3.01, 6 Al 3.05-3.30
Er 0.9684 0.7500 0.8784  2 Au 2.95-3.01, 6 Al 3.05-3.30
Al 0.1939 0.0539 0.6049  3 Au 2.62-2.69, 1 Al 2.72
Al 0.1939 0.4461 0.6049  3 Au 2.62-2.69, 1 Al 2.72
Al 0.3061 0.5539 0.1049  3 Au 2.62-2.69, 1 Al 2.72
Al 0.3061 0.9461 0.1049  3 Au 2.62-2.69, 1 Al 2.72
Al 0.6939 0.0539 0.8951  3 Au 2.62-2.69, 1 Al 2.72
Al 0.6939 0.4461 0.8951  3 Au 2.62-2.69, 1 Al 2.72
Al 0.8061 0.5539 0.3951  3 Au 2.62-2.69, 1 Al 2.72
Al 0.8061 0.9461 0.3951  3 Au 2.62-2.69, 1 Al 2.72
Au 0.0874 0.7500 0.3727  6 Al 2.62-2.69
Au 0.4126 0.2500 0.8727  6 Al 2.62-2.69
Au 0.5874 0.7500 0.1273  6 Al 2.62-2.69
Au 0.9126 0.2500 0.6273  6 Al 2.62-2.69

Summary:
- V (Å³/cell) = 315.09
- symmetry = Pnma
- magnetization (μB per formula unit) = 0.000
- calculated formation energy (eV per atom) = -0.59

---

Copy entry 3 word for word.
DFT (PBE) results for a relaxed structure of BaGe2Pt.

Unit cell a=5.0272 b=5.0272 c=5.0272 alpha=60.00 beta=60.00 gamma=60.00
With the nearest neighbours (Å) after each atom.
Atoms (fractional coordinates):
Ba 0.0000 0.0000 0.0000  8 Ge 3.08
Ge 0.2500 0.2500 0.2500  4 Ba 3.08, 4 Pt 3.08
Ge 0.7500 0.7500 0.7500  4 Ba 3.08, 4 Pt 3.08
Pt 0.5000 0.5000 0.5000  8 Ge 3.08

Summary:
- V (Å³/cell) = 89.84
- symmetry = Fm-3m
- magnetization (μB per formula unit) = 0.000
- calculated formation energy (eV per atom) = -0.08

---

> Among the records above, which one has the lowest V?

HgMoAs2